Entry 1:
# Co3MoO, optimized geometry, DFT PBE+U
# * DFT total energy: -16.1 eV/cell
data_Co3MoO
_chemical_formula_sum 'Co3 Mo1 O1'
_cell_length_a 4.6840
_cell_length_b 4.6840
_cell_length_c 4.6840
_cell_angle_alpha 90.00
_cell_angle_beta 90.00
_cell_angle_gamma 90.00
_space_group_name_H-M_alt 'P m -3 m'
_space_group_IT_number 221
_space_group_name_Hall '-P 4 2 3'
loop_
_atom_site_label
_atom_site_type_symbol
_atom_site_fract_x
_atom_site_fract_y
_atom_site_fract_z
_atom_site_occupancy
Co1 Co 0.0000 0.0000 0.5000 1
Mo1 Mo 0.0000 0.0000 0.0000 1
O1 O 0.5000 0.5000 0.5000 1

Entry 2:
# CoMoO2, optimized geometry, DFT PBE+U
# * DFT total energy: -86.7 eV/cell
# * E above lowest polymorph: 3.45 eV/f.u.
data_CoMoO2
_chemical_formula_sum 'Co4 Mo4 O8'
_cell_length_a 5.3309
_cell_length_b 5.3309
_cell_length_c 5.3309
_cell_angle_alpha 90.00
_cell_angle_beta 90.00
_cell_angle_gamma 90.00
_space_group_name_H-M_alt 'F m -3 m'
_space_group_IT_number 225
_space_group_name_Hall '-F 4 2 3'
loop_
_atom_site_label
_atom_site_type_symbol
_atom_site_fract_x
_atom_site_fract_y
_atom_site_fract_z
_atom_site_occupancy
Co1 Co 0.0000 0.0000 0.0000 1
Mo1 Mo 0.0000 0.0000 0.5000 1
O1 O 0.2500 0.2500 0.2500 1

Entry 3:
# CoMoO2, optimized geometry, DFT PBE+U
# * DFT total energy: -93.0 eV/cell
# * E above lowest polymorph: 1.87 eV/f.u.
data_CoMoO2
_chemical_formula_sum 'Co4 Mo4 O8'
_cell_length_a 3.8139
_cell_length_b 3.8139
_cell_length_c 12.0402
_cell_angle_alpha 90.00
_cell_angle_beta 90.00
_cell_angle_gamma 90.00
_space_group_name_H-M_alt 'I -4 2 d'
_space_group_IT_number 122
_space_group_name_Hall 'I -4 2bw'
loop_
_atom_site_label
_atom_site_type_symbol
_atom_site_fract_x
_atom_site_fract_y
_atom_site_fract_z
_atom_site_occupancy
Co1 Co 0.0000 0.0000 0.0000 1
Mo1 Mo 0.0000 0.0000 0.5000 1
O1 O 0.2458 0.2500 0.1250 1

Entry 4:
# Co4Mo4O19, optimized geometry, DFT PBE+U
# * DFT total energy: -173.2 eV/cell
data_Co4Mo4O19
_chemical_formula_sum 'Co4 Mo4 O19'
_cell_length_a 6.9649
_cell_length_b 7.0475
_cell_length_c 9.1540
_cell_angle_alpha 78.42
_cell_angle_beta 80.90
_cell_angle_gamma 75.37
_space_group_name_H-M_alt 'P 1'
_space_group_IT_number 1
_space_group_name_Hall 'P 1'
loop_
_atom_site_label
_atom_site_type_symbol
_atom_site_fract_x
_atom_site_fract_y
_atom_site_fract_z
_atom_site_occupancy
Co1 Co 0.0000 0.0000 0.0000 1
Co2 Co 0.0212 0.1876 0.2920 1
Co3 Co 0.3553 0.4833 0.6781 1
Co4 Co 0.3956 0.6576 0.9516 1
Mo1 Mo 0.1680 0.6488 0.2974 1
Mo2 Mo 0.2813 0.0097 0.6180 1
Mo3 Mo 0.4432 0.1274 0.0452 1
Mo4 Mo 0.9484 0.5262 0.9387 1
O1 O 0.0188 0.4738 0.3137 1
O2 O 0.0392 0.0367 0.8080 1
O3 O 0.0438 0.9119 0.2277 1
O4 O 0.0602 0.6886 0.0139 1
O5 O 0.0646 0.5146 0.7533 1
O6 O 0.0886 0.0834 0.4965 1
O7 O 0.2490 0.6308 0.4733 1
O8 O 0.3112 0.1520 0.2273 1
O9 O 0.3391 0.7301 0.7542 1
O10 O 0.3430 0.2237 0.6607 1
O11 O 0.3458 0.9517 0.9744 1
O12 O 0.3902 0.5826 0.1658 1
O13 O 0.4014 0.3712 0.9234 1
O14 O 0.4917 0.9194 0.5026 1
O15 O 0.5900 0.4604 0.6193 1
O16 O 0.6902 0.6271 0.9284 1
O17 O 0.7015 0.0341 0.0574 1
O18 O 0.7837 0.2211 0.3368 1
O19 O 0.9933 0.2767 0.0548 1

Entry 5:
# CoMoO2, optimized geometry, DFT PBE+U
# * DFT total energy: -75.4 eV/cell
# * E above lowest polymorph: 0.00 eV/f.u.
data_CoMoO2
_chemical_formula_sum 'Co3 Mo3 O6'
_cell_length_a 2.8513
_cell_length_b 2.8513
_cell_length_c 19.5375
_cell_angle_alpha 90.00
_cell_angle_beta 90.00
_cell_angle_gamma 120.00
_space_group_name_H-M_alt 'R -3 m'
_space_group_IT_number 166
_space_group_name_Hall '-R 3 2"'
loop_
_atom_site_label
_atom_site_type_symbol
_atom_site_fract_x
_atom_site_fract_y
_atom_site_fract_z
_atom_site_occupancy
Co1 Co 0.0000 0.0000 0.0000 1
Mo1 Mo 0.0000 0.0000 0.5000 1
O1 O 0.0000 0.0000 0.0957 1

Entry 6:
# CoMoPO2, optimized geometry, DFT PBE+U
# * DFT total energy: -29.7 eV/cell
# * E above lowest polymorph: 0.00 eV/f.u.
data_CoMoPO2
_chemical_formula_sum 'Co1 Mo1 P1 O2'
_cell_length_a 3.7974
_cell_length_b 3.7974
_cell_length_c 5.3251
_cell_angle_alpha 90.00
_cell_angle_beta 90.00
_cell_angle_gamma 90.00
_space_group_name_H-M_alt 'P 4/m m m'
_space_group_IT_number 123
_space_group_name_Hall '-P 4 2'
loop_
_atom_site_label
_atom_site_type_symbol
_atom_site_fract_x
_atom_site_fract_y
_atom_site_fract_z
_atom_site_occupancy
Co1 Co 0.0000 0.0000 0.0000 1
Mo1 Mo 0.5000 0.5000 0.5000 1
P1 P 0.5000 0.5000 0.0000 1
O1 O 0.0000 0.5000 0.5000 1

Entry 7:
# CoMoPO2, optimized geometry, DFT PBE+U
# * DFT total energy: -27.3 eV/cell
# * E above lowest polymorph: 2.38 eV/f.u.
data_CoMoPO2
_chemical_formula_sum 'Co1 Mo1 P1 O2'
_cell_length_a 3.6930
_cell_length_b 3.6930
_cell_length_c 4.7560
_cell_angle_alpha 90.00
_cell_angle_beta 90.00
_cell_angle_gamma 90.00
_space_group_name_H-M_alt 'P 4/m m m'
_space_group_IT_number 123
_space_group_name_Hall '-P 4 2'
loop_
_atom_site_label
_atom_site_type_symbol
_atom_site_fract_x
_atom_site_fract_y
_atom_site_fract_z
_atom_site_occupancy
Co1 Co 0.0000 0.0000 0.0000 1
Mo1 Mo 0.5000 0.5000 0.5000 1
P1 P 0.0000 0.0000 0.5000 1
O1 O 0.0000 0.5000 0.0000 1

Entry 8:
# PaCo2MoO8, optimized geometry, DFT PBE+U
# * DFT total energy: -175.1 eV/cell
data_PaCo2MoO8
_chemical_formula_sum 'Pa2 Co4 Mo2 O16'
_cell_length_a 6.6686
_cell_length_b 6.6686
_cell_length_c 6.7639
_cell_angle_alpha 90.00
_cell_angle_beta 90.00
_cell_angle_gamma 90.00
_space_group_name_H-M_alt 'I -4 m 2'
_space_group_IT_number 119
_space_group_name_Hall 'I -4 -2'
loop_
_atom_site_label
_atom_site_type_symbol
_atom_site_fract_x
_atom_site_fract_y
_atom_site_fract_z
_atom_site_occupancy
Pa1 Pa 0.0000 0.0000 0.0000 1
Co1 Co 0.0000 0.0000 0.5000 1
Co2 Co 0.0000 0.5000 0.2500 1
Mo1 Mo 0.0000 0.5000 0.7500 1
O1 O 0.0000 0.2186 0.6878 1
O2 O 0.0000 0.3141 0.0522 1

> What is the DFT total energy in the second record?

-86.7 eV/cell

> What is the DFT total energy in the first record?

-16.1 eV/cell